Entry 1:
MgAg8: relaxed, PBE.

* formation energy: -4.6 kJ per mole of atoms
* calculated total energy: -2.7596 eV/atom

a = 6.640 Å, b = 6.640 Å, c = 8.946 Å
α = 47.65°, β = 47.65°, γ = 84.69°
Positions (direct):
Ag (0.666, 0.334, 0.666)
Ag (0.667, 0.333, 0.000)
Ag (0.334, 0.666, 0.334)
Mg (0.000, 0.000, 0.000)
Ag (0.333, 0.667, 0.000)
Ag (0.334, 0.666, 0.666)
Ag (0.666, 0.334, 0.334)
Ag (0.000, 0.000, 0.333)
Ag (0.000, 0.000, 0.667)

=====

Entry 2:
SrHgI2N: relaxed, PBE.

* energy relative to the elements, uncorrected: 0.0851 eV per atom
* calculated total energy: -2.5968 eV/atom

a = 6.500 Å, b = 6.500 Å, c = 5.092 Å
α = 90.00°, β = 90.00°, γ = 90.00°
Last column: magnetic moment on the atom in μB.
Positions (direct):
N (0.000, 0.000, 0.500)  1.47
I (0.500, 0.000, 0.000)  0.05
Sr (0.000, 0.000, 0.000)  0.01
I (0.000, 0.500, 0.000)  0.05
Hg (0.500, 0.500, 0.500)  0.02

=====

Entry 3:
ZnCu2Rh: relaxed, PBE.

* formation energy: -6.2 kJ per mole of atoms
* calculated total energy: -4.2685 eV/atom

a = 2.692 Å, b = 3.734 Å, c = 5.219 Å
α = 90.00°, β = 90.00°, γ = 90.00°
Positions (direct):
Cu (0.000, 0.000, 0.999)
Zn (0.500, 0.500, 0.750)
Rh (0.500, 0.500, 0.250)
Cu (0.000, 0.000, 0.501)

=====

Entry 4:
Al2IrSe: relaxed, PBE.

* energy relative to the elements, uncorrected: -0.3292 eV per atom
* calculated total energy: -5.2869 eV/atom

a = 2.938 Å, b = 2.938 Å, c = 7.580 Å
α = 90.00°, β = 90.00°, γ = 90.00°
Positions (direct):
Se (0.500, 0.500, 0.750)
Ir (0.500, 0.500, 0.250)
Al (0.000, 0.000, 0.459)
Al (0.000, 0.000, 0.041)

=====

Q: Number 2 is which compound?
A: SrHgI2N